[1]
## NaCoOF2 (PBEsol)

Data for NaCoOF2 after structural relaxation.

The structure in POSCAR format:
```
NaCoOF2
1.0
-3.639 0.845 -1.052
-0.779 -3.786 -0.346
-1.163 -0.120 3.928
Na Co O F
1 1 1 2
Direct
0.000 0.000 0.000
0.500 0.500 0.500
0.000 0.000 0.500
0.000 0.500 0.000
0.500 0.000 0.000
```

- DOS at the Fermi energy: 0.8264 states/eV/atom
- ΔE_f (raw): -0.339 eV per atom
- Size of the total moment: 0.80 μB per atom

***

[2]
## BaSrTa4 (PBEsol)

Data for BaSrTa4 after structural relaxation.

The structure in POSCAR format:
```
BaSrTa4
1.0
-4.076 -1.302 -4.001
1.581 -2.299 -5.151
-1.233 -5.597 -1.211
Ba Sr Ta
1 1 4
Direct
0.750 0.750 0.750
0.000 0.000 0.000
0.370 0.370 0.370
0.370 0.370 0.891
0.891 0.370 0.370
0.370 0.891 0.370
```

- DOS at the Fermi energy: 1.7987 states/eV/atom
- Formation energy: 0.909 eV/atom
- Size of the total moment: 0.00 μB per atom

***

[3]
## ScCuMo2 (PBEsol)

Data for ScCuMo2 after structural relaxation.

The structure in POSCAR format:
```
ScCuMo2
1.0
-0.606 -2.361 2.166
2.947 0.455 1.320
-2.315 4.055 3.772
Cu Mo Sc
1 2 1
Direct
0.500 0.500 0.500
0.000 0.000 0.696
0.000 0.000 0.304
0.500 0.500 0.000
```

- DOS at the Fermi energy: 1.0114 states/eV/atom
- Formation energy: 0.332 eV/atom
- Size of the total moment: 0.00 μB per atom
- Energy above the lowest structure with this stoichiometry: 169.3 meV per atom

***

[4]
## BaLi3Ca (PBEsol)

Data for BaLi3Ca after structural relaxation.

The structure in POSCAR format:
```
BaLi3Ca
1.0
5.834 0.000 0.000
0.000 5.834 0.000
0.000 0.000 5.834
Ca Ba Li
1 1 3
Direct
0.000 0.000 0.000
0.500 0.500 0.500
0.000 0.500 0.000
0.000 0.000 0.500
0.500 0.000 0.000
```

- DOS at the Fermi energy: 1.0893 states/eV/atom
- Formation energy: 0.384 eV/atom
- Size of the total moment: 0.00 μB per atom

***

[5]
## LiBeIn2 (PBEsol)

Data for LiBeIn2 after structural relaxation.

The structure in POSCAR format:
```
LiBeIn2
1.0
3.816 0.000 0.000
0.000 4.271 0.000
0.000 0.000 4.271
Be In Li
1 2 1
Direct
0.500 0.000 0.000
0.000 0.000 0.500
0.000 0.500 0.000
0.500 0.500 0.500
```

- DOS at the Fermi energy: 0.3750 states/eV/atom
- Formation energy: 0.109 eV/atom
- Size of the total moment: 0.00 μB per atom

***

[6]
## RuAuSe4 (PBEsol)

Data for RuAuSe4 after structural relaxation.

The structure in POSCAR format:
```
RuAuSe4
1.0
5.458 0.000 0.000
2.729 4.727 0.000
2.729 1.576 4.456
Au Ru Se
1 1 4
Direct
0.750 0.750 0.750
0.000 0.000 0.000
0.375 0.375 0.375
0.375 0.375 0.875
0.875 0.375 0.375
0.375 0.875 0.375
```

- DOS at the Fermi energy: 1.1635 states/eV/atom
- ΔE_f (raw): 1.092 eV per atom
- Size of the total moment: 0.37 μB per atom

***

[7]
## Mg2SiHg (PBEsol)

Data for Mg2SiHg after structural relaxation.

The structure in POSCAR format:
```
Mg2SiHg
1.0
3.089 0.000 0.000
0.000 4.963 0.000
0.000 0.000 4.978
Hg Mg Si
1 2 1
Direct
0.500 0.500 0.151
0.000 0.000 0.100
0.000 0.500 0.649
0.500 0.000 0.600
```

- DOS at the Fermi energy: 0.3895 states/eV/atom
- ΔE_f (raw): -0.076 eV per atom
- Size of the total moment: 0.00 μB per atom

***

[8]
## LiZrCd2 (PBEsol)

Data for LiZrCd2 after structural relaxation.

The structure in POSCAR format:
```
LiZrCd2
1.0
3.008 0.000 0.000
1.504 2.605 0.000
1.504 0.868 10.122
Cd Li Zr
2 1 1
Direct
0.246 0.246 0.262
0.754 0.754 0.738
0.500 0.500 0.500
0.000 0.000 0.000
```

- DOS at the Fermi energy: 0.5254 states/eV/atom
- Formation energy: -0.096 eV/atom
- Size of the total moment: 0.00 μB per atom
- Energy above the lowest structure with this stoichiometry: 101.1 meV per atom